A plane-wave DFT calculation with PBE was carried out for crystalline CaMn2TlI8 at its relaxed geometry.

Lattice parameters (Å, degrees): 7.507 7.507 10.544 90.00 90.00 120.00
Fractional coordinates of all 12 atoms:
Ca 0.000 0.000 0.000
Mn 0.333 0.667 0.251
Mn 0.667 0.333 0.749
Tl 0.000 0.000 0.500
I 0.008 0.674 0.817
I 0.326 0.334 0.817
I 0.333 0.667 0.498
I 0.334 0.008 0.183
I 0.666 0.992 0.817
I 0.667 0.333 0.502
I 0.674 0.666 0.183
I 0.992 0.326 0.183

Calculated values
As for the space group: P-3 (147). The raw total energy comes out at -3.586 eV per atom.



A plane-wave DFT calculation with PBE was carried out for crystalline CaMo2I at its relaxed geometry.

Lattice parameters (Å, degrees): 4.026 4.026 22.729 90.00 90.00 90.00
Fractional coordinates of all 16 atoms:
Ca 0.000 0.000 0.000
Ca 0.000 0.500 0.250
Ca 0.500 0.000 0.750
Ca 0.500 0.500 0.500
Mo 0.194 0.250 0.625
Mo 0.250 0.694 0.875
Mo 0.250 0.806 0.375
Mo 0.306 0.250 0.125
Mo 0.694 0.750 0.125
Mo 0.750 0.194 0.375
Mo 0.750 0.306 0.875
Mo 0.806 0.750 0.625
I 0.000 0.000 0.500
I 0.000 0.500 0.750
I 0.500 0.000 0.250
I 0.500 0.500 0.000

Calculated values
As for the space group: I-42d (122). The raw total energy comes out at -5.463 eV per atom. As for the excess energy over the best structure of this formula in the dataset: 0 meV/atom.



A plane-wave DFT calculation with PBE was carried out for crystalline Ca2MoI at its relaxed geometry.

Lattice parameters (Å, degrees): 7.792 7.792 7.792 90.00 90.00 90.00
Fractional coordinates of all 16 atoms:
Ca 0.250 0.250 0.250
Ca 0.250 0.250 0.750
Ca 0.250 0.750 0.250
Ca 0.250 0.750 0.750
Ca 0.750 0.250 0.250
Ca 0.750 0.250 0.750
Ca 0.750 0.750 0.250
Ca 0.750 0.750 0.750
Mo 0.000 0.000 0.000
Mo 0.000 0.500 0.500
Mo 0.500 0.000 0.500
Mo 0.500 0.500 0.000
I 0.000 0.000 0.500
I 0.000 0.500 0.000
I 0.500 0.000 0.000
I 0.500 0.500 0.500

Calculated values
As for the space group: Fm-3m (225). The raw total energy comes out at -3.571 eV per atom. As for the excess energy over the best structure of this formula in the dataset: 0 meV/atom.



A plane-wave DFT calculation with PBE was carried out for crystalline CaMoI3 at its relaxed geometry.

Lattice parameters (Å, degrees): 5.680 5.680 5.680 90.00 90.00 90.00
Fractional coordinates of all 5 atoms:
Ca 0.000 0.000 0.000
Mo 0.500 0.500 0.500
I 0.000 0.500 0.500
I 0.500 0.000 0.500
I 0.500 0.500 0.000

Calculated values
As for the space group: Pm-3m (221). The raw total energy comes out at -3.524 eV per atom. As for the excess energy over the best structure of this formula in the dataset: 0 meV/atom.



A plane-wave DFT calculation with PBE was carried out for crystalline Ca3MoI at its relaxed geometry.

Lattice parameters (Å, degrees): 5.835 5.835 5.835 90.00 90.00 90.00
Fractional coordinates of all 5 atoms:
Ca 0.000 0.000 0.500
Ca 0.000 0.500 0.000
Ca 0.500 0.000 0.000
Mo 0.500 0.500 0.500
I 0.000 0.000 0.000

Calculated values
As for the space group: Pm-3m (221). The raw total energy comes out at -2.915 eV per atom. As for the excess energy over the best structure of this formula in the dataset: 296 meV/atom.



A plane-wave DFT calculation with PBE was carried out for crystalline Ca2MoI at its relaxed geometry.

Lattice parameters (Å, degrees): 8.442 8.442 7.664 90.00 90.00 90.00
Fractional coordinates of all 16 atoms:
Ca 0.246 0.250 0.125
Ca 0.250 0.746 0.375
Ca 0.250 0.754 0.875
Ca 0.254 0.250 0.625
Ca 0.746 0.750 0.625
Ca 0.750 0.246 0.875
Ca 0.750 0.254 0.375
Ca 0.754 0.750 0.125
Mo 0.000 0.000 0.000
Mo 0.000 0.500 0.250
Mo 0.500 0.000 0.750
Mo 0.500 0.500 0.500
I 0.000 0.000 0.500
I 0.000 0.500 0.750
I 0.500 0.000 0.250
I 0.500 0.500 0.000

Calculated values
As for the space group: I-42d (122). The raw total energy comes out at -3.522 eV per atom. As for the excess energy over the best structure of this formula in the dataset: 49 meV/atom.



A plane-wave DFT calculation with PBE was carried out for crystalline CaMo2I at its relaxed geometry.

Lattice parameters (Å, degrees): 6.777 6.777 6.777 90.00 90.00 90.00
Fractional coordinates of all 16 atoms:
Ca 0.000 0.000 0.000
Ca 0.000 0.500 0.500
Ca 0.500 0.000 0.500
Ca 0.500 0.500 0.000
Mo 0.250 0.250 0.250
Mo 0.250 0.250 0.750
Mo 0.250 0.750 0.250
Mo 0.250 0.750 0.750
Mo 0.750 0.250 0.250
Mo 0.750 0.250 0.750
Mo 0.750 0.750 0.250
Mo 0.750 0.750 0.750
I 0.000 0.000 0.500
I 0.000 0.500 0.000
I 0.500 0.000 0.000
I 0.500 0.500 0.500

Calculated values
As for the space group: Fm-3m (225). The raw total energy comes out at -5.042 eV per atom. As for the excess energy over the best structure of this formula in the dataset: 421 meV/atom.



A plane-wave DFT calculation with PBE was carried out for crystalline Ca3MoI at its relaxed geometry.

Lattice parameters (Å, degrees): 5.561 5.561 5.561 90.00 90.00 90.00
Fractional coordinates of all 5 atoms:
Ca 0.000 0.000 0.500
Ca 0.000 0.500 0.000
Ca 0.500 0.000 0.000
Mo 0.000 0.000 0.000
I 0.500 0.500 0.500

Calculated values
As for the space group: Pm-3m (221). The raw total energy comes out at -3.212 eV per atom. As for the excess energy over the best structure of this formula in the dataset: 0 meV/atom.



ΔE_f (raw) / eV per formula unit: -7.92 3.36 2.10 -0.14 3.81 2.30 5.04 2.33
Volume / Å³/cell: 514.59 368.49 473.17 183.24 198.65 546.25 311.32 171.98